## TcSb2SeI (PBEsol)

Data for TcSb2SeI after structural relaxation.

Lattice parameters (Å, degrees): 5.1065 5.1065 5.1494 90.00 90.00 90.00
Space group P4/mmm (No. 123)
One atom of each set of equivalent atoms:
Tc  0.0000  0.0000  0.0000 x1
Sb  0.0000  0.5000  0.0000 x2
Se  0.5000  0.5000  0.5000 x1
I  0.0000  0.0000  0.5000 x1

Uncorrected energy, eV/atom: -4.676